[1]
8
Lattice="-2.317 2.164 -2.634 -4.946 0.830 5.032 1.348 5.956 3.708" Properties=species:S:1:pos:R:3 comment="LaTb2ThP4, optimized geometry, DFT PBE-GGA" crystal_system=monoclinic formation_enthalpy_0k_ev_per_fu=-12.82 m_tot_mub_per_fu=0.00 pbc="T T T"
Th -1.799 3.393 4.370
Tb 1.348 5.956 3.708
Tb -0.484 4.060 0.537
P -1.351 5.740 2.680
P -2.755 5.050 6.573
P -4.563 3.209 3.426
P -3.160 3.900 -0.466
La -3.631 1.497 1.199

---

[2]
3
Lattice="3.607 0.000 0.000 0.000 4.338 0.000 0.000 -2.169 3.757" Properties=species:S:1:pos:R:3 comment="TmGaTc, optimized geometry, DFT PBE-GGA" e_above_lowest_polymorph_mev_per_atom=243 crystal_system=hexagonal formation_enthalpy_0k_ev_per_fu=-0.70 m_tot_mub_per_fu=0.00 pbc="T T T"
Ga 0.601 0.000 0.000
Tm 2.405 2.169 1.252
Tc 0.601 0.000 2.505

---

[3]
11
Lattice="6.466 1.063 1.534 0.559 7.518 0.764 0.559 -1.924 7.307" Properties=species:S:1:pos:R:3 comment="Ce2Tm2Th7, optimized geometry, DFT PBE-GGA" e_above_lowest_polymorph_mev_per_atom=25 crystal_system=monoclinic formation_enthalpy_0k_ev_per_fu=2.76 m_tot_mub_per_fu=0.00 pbc="T T T"
Th 5.942 6.936 5.033
Th 0.000 0.000 0.000
Th 1.642 4.380 1.345
Th 3.654 2.315 3.340
Th 5.942 2.276 8.261
Th 3.930 4.342 6.266
Th 1.642 -0.279 4.574
Ce 6.615 3.100 4.473
Ce 0.969 3.557 5.133
Tm 3.792 6.645 2.505
Tm 3.792 0.012 7.101

---

[4]
17
Lattice="7.544 0.000 0.000 -2.515 7.113 0.000 -2.515 -3.556 6.160" Properties=species:S:1:pos:R:3 comment="Ce4Ga12Ir, optimized geometry, DFT PBE-GGA" crystal_system=cubic formation_enthalpy_0k_ev_per_fu=-10.33 m_tot_mub_per_fu=0.00 pbc="T T T"
Ga 1.478 2.091 0.000
Ga 3.551 5.022 0.000
Ga -1.478 1.045 1.811
Ga 1.478 -1.045 1.811
Ga -1.257 3.556 3.080
Ga 1.257 4.445 1.540
Ga 1.257 -0.889 4.620
Ga 3.772 2.667 1.540
Ga -3.551 2.511 4.349
Ga 3.772 0.000 3.080
Ga -1.257 0.889 4.620
Ga 3.551 -2.511 4.349
Ce 1.257 1.778 3.080
Ce 3.772 0.000 0.000
Ce -1.257 3.556 0.000
Ce -1.257 -1.778 3.080
Ir 0.000 0.000 0.000

---

[5]
24
Lattice="4.568 0.000 0.000 0.000 11.427 0.000 0.000 0.000 12.938" Properties=species:S:1:pos:R:3 comment="Th3Sn2Os, optimized geometry, DFT PBE-GGA" e_above_lowest_polymorph_mev_per_atom=0 crystal_system=orthorhombic formation_enthalpy_0k_ev_per_fu=-2.83 m_tot_mub_per_fu=0.00 pbc="T T T"
Th 3.426 2.486 3.220
Th 3.426 6.239 7.946
Th 1.142 8.941 9.718
Th 3.426 6.942 12.162
Th 1.142 0.525 11.460
Th 3.426 3.227 9.689
Th 3.426 10.199 5.693
Th 1.142 1.228 7.244
Th 1.142 5.188 4.991
Th 1.142 8.200 3.249
Th 3.426 10.902 1.478
Th 1.142 4.485 0.776
Sn 3.426 11.264 9.081
Sn 3.426 3.307 6.374
Sn 1.142 0.163 3.856
Sn 1.142 9.020 0.095
Sn 3.426 5.876 2.613
Sn 3.426 2.407 12.842
Sn 1.142 8.120 6.564
Sn 1.142 5.550 10.325
Os 1.142 4.041 7.896
Os 1.142 1.672 1.427
Os 3.426 9.755 11.510
Os 3.426 7.385 5.042

---

[6]
5
Lattice="5.930 0.000 0.000 0.000 5.665 0.000 0.000 0.000 5.930" Properties=species:S:1:pos:R:3 comment="CsSrAuSe2, optimized geometry, DFT PBE-GGA" e_above_lowest_polymorph_mev_per_atom=1333 crystal_system=tetragonal m_tot_mub_per_fu=0.00 pbc="T T T"
Cs 0.000 0.000 0.000
Se 2.965 0.000 0.000
Se 0.000 0.000 2.965
Sr 2.965 2.832 2.965
Au 0.000 2.832 0.000

---

What are the total DFT energy (no corrections) values for these records? In order: -7.009, -6.188, -6.363, -4.662, -7.387, -2.437 eV per atom.